Below is an optimized crystal structure of NiPRhO2, with properties calculated at the GGA+U level.

The structure belongs to space group P4/mmm (No. 123); the cell edges are 3.7261, 3.7261 and 5.2386 Å and the angles 90.00°, 90.00° and 90.00°. The asymmetric unit holds Ni at (0.0000, 0.0000, 0.0000), P at (0.5000, 0.5000, 0.0000), Rh at (0.5000, 0.5000, 0.5000) and O at (0.0000, 0.5000, 0.5000).

For the excess energy over the best structure of this formula in the dataset, the calculation gives 0.00 kcal/mol of atoms. The mass density is 5127 kg/m3.